A plane-wave DFT calculation with SCAN was carried out for a crystal of YSc2W relaxed with PBEsol.

Cell lengths 3.0028, 4.4691, 6.3673 Å; angles 90.00, 90.00, 90.00 degrees
Fractional positions:
Sc1 0.0000 0.0000 0.2158
Sc2 0.0000 0.0000 0.7842
Y1 0.5000 0.5000 0.5000
W1 0.5000 0.5000 0.0000

Values from the calculation:
For the energy relative to the elements, the calculation gives 0.39 eV per atom. The electronic total energy comes out at -31.112 eV/atom. The calculation puts the total moment at 0.00 μB per cell.